Sr3ScV2O9: relaxed, PBE with a Hubbard U.

Cell lengths 5.604, 5.604, 6.844 Å; angles 90.00, 90.00, 120.00 degrees
Atoms (fractional coordinates):
1 O 0.500 0.000 0.000
2 O 0.827 0.654 0.678
3 Sr 0.667 0.333 0.327
4 V 0.333 0.667 0.166
5 O 0.346 0.173 0.678
6 O 0.500 0.500 0.000
7 O 0.654 0.827 0.322
8 Sr 0.000 0.000 0.000
9 O 0.173 0.827 0.322
10 Sr 0.333 0.667 0.673
11 O 0.827 0.173 0.678
12 V 0.667 0.333 0.834
13 O 0.000 0.500 0.000
14 O 0.173 0.346 0.322
15 Sc 0.000 0.000 0.500

Computed properties:
* total DFT energy (no corrections): -111.225 eV for the cell shown